Entry 1:
Compound: SnTe2Rh
Source: the Alexandria database
Functional: PBE-GGA
Structure: relaxed

Cell lengths 3.1643, 3.1643, 36.0004 Å; angles 90.00, 90.00, 120.00 degrees
Closest atoms and distances in Å follow each position.
Space group R-3m (No. 166, hexagonal axes)
Unique sites:
Sn (0.0000, 0.0000, 0.0000) (multiplicity 3)  6 Sn 3.16
Te (0.0000, 0.0000, 0.4289) (multiplicity 6)  1 Rh 2.56
Rh (0.0000, 0.0000, 0.5000) (multiplicity 3)  2 Te 2.56

Electronic total energy (eV/f.u.): -16.4
E_form (uncorrected) (eV per atom): 0.3026

---

Entry 2:
Compound: Sn3TeRh
Source: the Alexandria database
Functional: PBE-GGA
Structure: relaxed

Cell lengths 5.1750, 5.1750, 5.1750 Å; angles 90.00, 90.00, 90.00 degrees
Closest atoms and distances in Å follow each position.
Space group Pm-3m (No. 221)
Unique sites:
Sn (0.0000, 0.0000, 0.5000) (multiplicity 3)  2 Rh 2.59
Te (0.5000, 0.5000, 0.5000) (multiplicity 1)  12 Sn 3.66
Rh (0.0000, 0.0000, 0.0000) (multiplicity 1)  6 Sn 2.59

Electronic total energy (eV/f.u.): -23.4
E_form (uncorrected) (eV per atom): -0.1786

---

Which value of electronic total energy does entry 1 give? -16.4 eV/f.u.

---

electronic total energy of number 2 (Sn3TeRh)? -23.4 eV/f.u.

---

Please write out number 1 again, unchanged.
Compound: SnTe2Rh
Source: the Alexandria database
Functional: PBE-GGA
Structure: relaxed

Cell lengths 3.1643, 3.1643, 36.0004 Å; angles 90.00, 90.00, 120.00 degrees
Closest atoms and distances in Å follow each position.
Space group R-3m (No. 166, hexagonal axes)
Unique sites:
Sn (0.0000, 0.0000, 0.0000) (multiplicity 3)  6 Sn 3.16
Te (0.0000, 0.0000, 0.4289) (multiplicity 6)  1 Rh 2.56
Rh (0.0000, 0.0000, 0.5000) (multiplicity 3)  2 Te 2.56

Electronic total energy (eV/f.u.): -16.4
E_form (uncorrected) (eV per atom): 0.3026

---

Which of these has the lowest electronic total energy? Sn3TeRh